RbOsNO2: optimized geometry, PBE.

Unit cell a=4.161 b=4.161 c=4.659 alpha=90.00 beta=90.00 gamma=90.00
Fractional coordinates of all 5 atoms:
Rb1 0.000 0.000 0.000
Os1 0.500 0.500 0.500
N1 0.000 0.000 0.500
O1 0.000 0.500 0.000
O2 0.500 0.000 0.000

Output
- magnetic moment (μB per atom) = 0.91
- N(E_F) (states/eV/atom) = 0.407
- raw formation energy (kJ/mol of atoms) = 263.5


NbOsIN2: optimized geometry, PBE.

Unit cell a=3.999 b=3.999 c=6.001 alpha=90.00 beta=90.00 gamma=90.00
Fractional coordinates of all 5 atoms:
Nb1 0.000 0.000 0.000
Os1 0.500 0.500 0.500
I1 0.000 0.000 0.500
N1 0.000 0.500 0.000
N2 0.500 0.000 0.000

Output
- magnetic moment (μB per atom) = 0.57
- N(E_F) (states/eV/atom) = 0.830
- raw formation energy (kJ/mol of atoms) = 133.5